Entry 1:
The following is a PBE-GGA calculation of crystalline La2PmPr3Dy6 at its relaxed geometry, from the Alexandria database.

Structure (extended XYZ):
```
12
Lattice="6.311 -0.001 0.008 -3.155 5.466 0.008 -1.064 -1.843 11.703" Properties=species:S:1:pos:R:3 pbc="T T T"
La 0.003 3.642 0.008
La 3.153 1.822 0.008
Pm 0.000 0.000 0.000
Pr -2.110 3.634 5.859
Pr 4.202 -0.012 5.859
Pr 1.046 1.811 5.859
Dy 3.144 1.809 8.785
Dy 2.104 3.642 2.943
Dy -1.052 1.813 2.934
Dy -0.004 3.628 8.785
Dy -0.012 -0.020 8.776
Dy 2.096 -0.006 2.934
```

Computed properties:
- Crystal system: monoclinic
- Magnetization: 0.000 μB per formula unit
- DOS(E_F): 13.728 states/eV/cell



Entry 2:
The following is a PBE-GGA calculation of crystalline Sc2AlAg at its relaxed geometry, from the Alexandria database.

Structure (extended XYZ):
```
4
Lattice="3.177 0.000 0.000 0.000 4.312 0.000 0.000 0.000 5.987" Properties=species:S:1:pos:R:3 pbc="T T T"
Sc 0.000 0.000 5.808
Sc 1.588 2.156 1.593
Al 1.588 2.156 4.611
Ag 0.000 0.000 2.955
```

Computed properties:
- Crystal system: orthorhombic
- Magnetization: 0.001 μB per formula unit
- DOS(E_F): 3.619 states/eV/cell



Entry 3:
The following is a PBE-GGA calculation of crystalline KRb2NaLi at its relaxed geometry, from the Alexandria database.

Structure (extended XYZ):
```
5
Lattice="7.269 0.000 0.000 0.000 7.269 0.000 0.000 0.000 6.277" Properties=species:S:1:pos:R:3 pbc="T T T"
Na 0.000 0.000 3.139
K 3.635 3.635 3.139
Rb 0.000 3.635 0.000
Rb 3.635 0.000 0.000
Li 0.000 0.000 0.000
```

Computed properties:
- Crystal system: tetragonal
- Magnetization: 0.000 μB per formula unit
- DOS(E_F): 2.940 states/eV/cell



no.,mass density (g/cm3),DFT formation energy (eV per atom),E_tot (eV for the cell shown)
1,7.49,0.01,-56.4
2,4.55,-0.16,-19.9
3,1.20,0.14,-5.5